(1)
# CaY3Hg, relaxed, DFT GGA-PBE
# **Electronic total energy**: -21.0 eV for the cell shown
# **Excess energy over the best structure of this formula in the dataset**: 0.0000 eV per atom
data_CaY3Hg
_cell_length_a 5.745
_cell_length_b 5.745
_cell_length_c 5.745
_cell_angle_alpha 90.00
_cell_angle_beta 90.00
_cell_angle_gamma 90.00
_symmetry_space_group_name_H-M 'P m -3 m'
_symmetry_Int_Tables_number 221
_symmetry_space_group_name_Hall '-P 4 2 3'
loop_
_atom_site_label
_atom_site_fract_x
_atom_site_fract_y
_atom_site_fract_z
Ca1 0.000 0.000 0.000
Y1 0.000 0.500 0.500
Hg1 0.500 0.500 0.500

---

(2)
# Sc6ZnTc2, relaxed, DFT GGA-PBE
# **Electronic total energy**: -246.6 eV for the cell shown
data_Sc6ZnTc2
_cell_length_a 8.813
_cell_length_b 8.816
_cell_length_c 9.746
_cell_angle_alpha 90.00
_cell_angle_beta 90.00
_cell_angle_gamma 90.00
_symmetry_space_group_name_H-M 'I m m m'
_symmetry_Int_Tables_number 71
_symmetry_space_group_name_Hall '-I 2 2'
loop_
_atom_site_label
_atom_site_fract_x
_atom_site_fract_y
_atom_site_fract_z
Sc1 0.000 0.192 0.166
Sc2 0.184 0.224 0.500
Sc3 0.198 0.500 0.251
Zn1 0.000 0.500 0.000
Zn2 0.000 0.500 0.500
Tc1 0.000 0.000 0.376
Tc2 0.180 0.000 0.000

---

no.,energy of formation from the pure elements (eV per atom)
1,0.1441
2,-0.1830